{
  "formula": "Li2Fe3F8",
  "functional": "PBE with a Hubbard U",
  "state": "relaxed",
  "lattice": [[3.0854, 1.7814, 5.1020], [-3.0854, 1.7814, 5.1020], [0.0000, -3.5627, 5.1020]],
  "species": ["Li", "Li", "Fe", "Fe", "Fe", "F", "F", "F", "F", "F", "F", "F", "F"],
  "frac_coords": [[0.1273, 0.1273, 0.1273], [0.8727, 0.8727, 0.8727], [0.0000, 0.5000, 0.5000], [0.5000, 0.0000, 0.5000], [0.5000, 0.5000, 0.0000], [0.0982, 0.0982, 0.5724], [0.0982, 0.5724, 0.0982], [0.4039, 0.4039, 0.4039], [0.4276, 0.9018, 0.9018], [0.5724, 0.0982, 0.0982], [0.5961, 0.5961, 0.5961], [0.9018, 0.4276, 0.9018], [0.9018, 0.9018, 0.4276]],
  "n_ef_per_ev_atom": 0.000,
  "total_energy_ev_per_atom": -5.2857
}